First-principles (GGA-PBE) data for a relaxed structure of Cs4CdI5, as listed in Alexandria via LeMat-Bulk.

Formation energy without anion corrections (eV/atom): -1.227
V (A^3/atom): 55.997
Fermi-level density of states (states/eV per cell): 4.30
Space group: I4 (79)

abc: 7.7200 9.3507 9.3507
angles: 80.19 65.62 65.62
With the nearest neighbours (Å) after each atom.
Atoms (fractional coordinates):
Cs: 0.4116 0.3937 0.7958  6 I 3.82-4.05
Cs: 0.8052 0.7958 0.6063  6 I 3.82-4.05
Cs: 0.2073 0.2042 0.3937  6 I 3.82-4.05
Cs: 0.6010 0.6063 0.2042  6 I 3.82-4.05
Cd: 0.0329 0.0000 0.0000  1 I 3.09
I: 0.9133 0.3683 0.8148  1 Cd 3.52, 4 Cs 3.85-3.89
I: 0.2816 0.8148 0.6317  1 Cd 3.52, 4 Cs 3.85-3.89
I: 0.7281 0.1852 0.3683  1 Cd 3.52, 4 Cs 3.85-3.89
I: 0.0964 0.6317 0.1852  1 Cd 3.52, 4 Cs 3.85-3.89
I: 0.4328 0.0000 0.0000  1 Cd 3.09